# 1
Here is an optimized crystal structure of Th2CoCl from the Alexandria database. Energies are from PBE.

Computed properties:
- Theoretical density: 9.1 g cm⁻³
- Formation energy (no corrections): -3.2 eV/f.u.
- Density of states at the Fermi level: 3.1 states/eV/f.u.
- Total magnetic moment: 0.00 μB per cell
- Distance to the lowest polymorph of the same formula: 0 meV per atom
- Calculated volume: 25.4 A^3/atom

CIF file:
```
data_Th2CoCl
_space_group_name_H-M_alt 'P 1'
_space_group_IT_number 1
_cell_length_a 3.892
_cell_length_b 3.892
_cell_length_c 7.738
_cell_angle_alpha 90.00
_cell_angle_beta 90.00
_cell_angle_gamma 120.00
loop_
_space_group_symop_operation_xyz
'x,y,z'
loop_
_atom_site_label
_atom_site_fract_x
_atom_site_fract_y
_atom_site_fract_z
_atom_site_occupancy
Th1 0.333 0.667 0.301 1
Th2 0.667 0.333 0.699 1
Co1 0.000 0.000 0.500 1
Cl1 0.000 0.000 0.000 1
```



# 2
Here is an optimized crystal structure of Al2IrAu from the Alexandria database. Energies are from PBE.

Computed properties:
- Theoretical density: 12.2 g cm⁻³
- Density of states at the Fermi level: 1.4 states/eV/f.u.
- Total magnetic moment: 0.00 μB per cell
- Electronic total energy: -5.44 eV per atom
- Calculated volume: 15.1 A^3/atom

CIF file:
```
data_Al2IrAu
_space_group_name_H-M_alt 'P 1'
_space_group_IT_number 1
_cell_length_a 4.529
_cell_length_b 4.529
_cell_length_c 2.937
_cell_angle_alpha 90.00
_cell_angle_beta 90.00
_cell_angle_gamma 90.00
loop_
_space_group_symop_operation_xyz
'x,y,z'
loop_
_atom_site_label
_atom_site_fract_x
_atom_site_fract_y
_atom_site_fract_z
_atom_site_occupancy
Al1 0.000 0.500 0.000 1
Al2 0.500 0.000 0.000 1
Ir1 0.000 0.000 0.500 1
Au1 0.500 0.500 0.500 1
```



# 3
Here is an optimized crystal structure of MnTc2N2 from the Alexandria database. Energies are from PBE.

Computed properties:
- Theoretical density: 8.0 g cm⁻³
- Formation energy (no corrections): 1.3 eV/f.u.
- Density of states at the Fermi level: 5.5 states/eV/f.u.
- Total magnetic moment: 0.00 μB per cell
- Distance to the lowest polymorph of the same formula: 0 meV per atom
- Calculated volume: 11.6 A^3/atom

CIF file:
```
data_MnTc2N2
_space_group_name_H-M_alt 'P 1'
_space_group_IT_number 1
_cell_length_a 4.481
_cell_length_b 4.481
_cell_length_c 4.481
_cell_angle_alpha 125.31
_cell_angle_beta 125.31
_cell_angle_gamma 81.03
loop_
_space_group_symop_operation_xyz
'x,y,z'
loop_
_atom_site_label
_atom_site_fract_x
_atom_site_fract_y
_atom_site_fract_z
_atom_site_occupancy
Mn1 0.000 0.000 0.000 1
Tc1 0.250 0.750 0.500 1
Tc2 0.750 0.250 0.500 1
N1 0.273 0.273 0.000 1
N2 0.727 0.727 0.000 1
```



# 4
Here is an optimized crystal structure of Rb2NaPaSe4 from the Alexandria database. Energies are from PBE.

Computed properties:
- Theoretical density: 4.7 g cm⁻³
- Formation energy (no corrections): -10.7 eV/f.u.
- Total magnetic moment: 0.00 μB per cell
- Calculated volume: 32.5 A^3/atom

CIF file:
```
data_Rb2NaPaSe4
_space_group_name_H-M_alt 'P 1'
_space_group_IT_number 1
_cell_length_a 7.536
_cell_length_b 4.380
_cell_length_c 8.256
_cell_angle_alpha 90.00
_cell_angle_beta 107.48
_cell_angle_gamma 90.00
loop_
_space_group_symop_operation_xyz
'x,y,z'
loop_
_atom_site_label
_atom_site_fract_x
_atom_site_fract_y
_atom_site_fract_z
_atom_site_occupancy
Rb1 0.000 0.000 0.000 1
Rb2 0.500 0.500 0.000 1
Na1 0.000 0.500 0.500 1
Pa1 0.500 0.000 0.500 1
Se1 0.268 0.000 0.694 1
Se2 0.291 0.500 0.308 1
Se3 0.709 0.500 0.692 1
Se4 0.732 0.000 0.306 1
```



# 5
Here is an optimized crystal structure of YTcTe2 from the Alexandria database. Energies are from PBE.

Computed properties:
- Theoretical density: 7.8 g cm⁻³
- Formation energy (no corrections): 0.9 eV/f.u.
- Density of states at the Fermi level: 3.8 states/eV/f.u.
- Total magnetic moment: 0.31 μB per cell
- Distance to the lowest polymorph of the same formula: 672 meV per atom
- Calculated volume: 23.5 A^3/atom

CIF file:
```
data_YTcTe2
_space_group_name_H-M_alt 'P 1'
_space_group_IT_number 1
_cell_length_a 5.101
_cell_length_b 5.101
_cell_length_c 5.101
_cell_angle_alpha 60.00
_cell_angle_beta 60.00
_cell_angle_gamma 60.00
loop_
_space_group_symop_operation_xyz
'x,y,z'
loop_
_atom_site_label
_atom_site_fract_x
_atom_site_fract_y
_atom_site_fract_z
_atom_site_occupancy
Y1 0.000 0.000 0.000 1
Tc1 0.250 0.250 0.250 1
Te1 0.500 0.500 0.500 1
Te2 0.750 0.750 0.750 1
```



# 6
Here is an optimized crystal structure of ZnIrPb3 from the Alexandria database. Energies are from PBE.

Computed properties:
- Theoretical density: 9.6 g cm⁻³
- Density of states at the Fermi level: 4.3 states/eV/f.u.
- Total magnetic moment: 0.00 μB per cell
- Distance to the lowest polymorph of the same formula: 0 meV per atom
- Calculated volume: 30.5 A^3/atom

CIF file:
```
data_ZnIrPb3
_space_group_name_H-M_alt 'P 1'
_space_group_IT_number 1
_cell_length_a 5.343
_cell_length_b 5.343
_cell_length_c 5.343
_cell_angle_alpha 90.00
_cell_angle_beta 90.00
_cell_angle_gamma 90.00
loop_
_space_group_symop_operation_xyz
'x,y,z'
loop_
_atom_site_label
_atom_site_fract_x
_atom_site_fract_y
_atom_site_fract_z
_atom_site_occupancy
Zn1 0.000 0.000 0.000 1
Ir1 0.500 0.500 0.500 1
Pb1 0.000 0.500 0.500 1
Pb2 0.500 0.000 0.500 1
Pb3 0.500 0.500 0.000 1
```